Computed, not measured: an optimized crystal structure of LaMnN3 at the PBE-GGA level of DFT.

It has space group C2/m (No. 12), with a = 10.864 Å, b = 4.057 Å, c = 7.107 Å, α = 90.00°, β = 119.19° and γ = 90.00°. The asymmetric unit holds La at (0.219, 0.000, 0.235), Mn at (0.041, 0.000, 0.686), N at (0.084, 0.343, 0.879) and N at (0.141, 0.000, 0.535).

For the formation energy (no corrections), the calculation gives -0.70 eV/atom. The total energy comes out at -8.512 eV/atom.

Computed, not measured: an optimized crystal structure of InCoRh2Au at the PBE-GGA level of DFT.

It has space group P4/mmm (No. 123), with a = 4.486 Å, b = 4.486 Å, c = 4.729 Å, α = 90.00°, β = 90.00° and γ = 90.00°. The asymmetric unit holds In at (0.000, 0.000, 0.000), Co at (0.000, 0.000, 0.500), Rh at (0.000, 0.500, 0.500) and Au at (0.500, 0.500, 0.000).

The total energy comes out at -4.852 eV/atom.

Computed, not measured: an optimized crystal structure of PrSnBr5 at the PBE-GGA level of DFT.

It has space group P2_1/m (No. 11), with a = 8.427 Å, b = 4.403 Å, c = 14.147 Å, α = 90.00°, β = 93.86° and γ = 90.00°. The asymmetric unit holds Pr at (0.091, 0.250, 0.149), Sn at (0.407, 0.750, 0.367), Br at (0.110, 0.250, 0.792), Br at (0.152, 0.250, 0.365), Br at (0.182, 0.750, 0.014), Br at (0.357, 0.750, 0.567) and Br at (0.430, 0.250, 0.185).

For the formation energy (no corrections), the calculation gives -1.38 eV/atom. The total energy comes out at -3.826 eV/atom.

Computed, not measured: an optimized crystal structure of Pr2Al2TlRh5 at the PBE-GGA level of DFT.

It has space group P4/mbm (No. 127), with a = 10.111 Å, b = 10.111 Å, c = 3.610 Å, α = 90.00°, β = 90.00° and γ = 90.00°. The asymmetric unit holds Pr at (0.179, 0.321, 0.000), Al at (0.119, 0.619, 0.000), Tl at (0.000, 0.000, 0.000), Rh at (0.000, 0.500, 0.500) and Rh at (0.068, 0.784, 0.500).

The total energy comes out at -6.283 eV/atom.

Computed, not measured: an optimized crystal structure of Rb2TiAuI6 at the PBE-GGA level of DFT.

It has space group I4/mmm (No. 139), with a = 8.675 Å, b = 8.675 Å, c = 11.204 Å, α = 90.00°, β = 90.00° and γ = 90.00°. The asymmetric unit holds Rb at (0.000, 0.500, 0.250), Ti at (0.000, 0.000, 0.000), Au at (0.000, 0.000, 0.500), I at (0.000, 0.000, 0.262) and I at (0.228, 0.228, 0.000).

For the formation energy (no corrections), the calculation gives -0.81 eV/atom. The total energy comes out at -3.050 eV/atom.

Computed, not measured: an optimized crystal structure of Pr2InCu at the PBE-GGA level of DFT.

It has space group R-3m (No. 166, hexagonal axes), with a = 3.5411 Å, b = 3.5411 Å, c = 33.1706 Å, α = 90.00°, β = 90.00° and γ = 120.00°. The asymmetric unit holds Pr at (0.0000, 0.0000, 0.1012), In at (0.0000, 0.0000, 0.0000) and Cu at (0.0000, 0.0000, 0.5000).

The total energy comes out at -3.942 eV/atom.

Computed, not measured: an optimized crystal structure of Ta2BiAuCl at the PBE-GGA level of DFT.

It has space group P4/mmm (No. 123), with a = 5.291 Å, b = 5.291 Å, c = 5.261 Å, α = 90.00°, β = 90.00° and γ = 90.00°. The asymmetric unit holds Ta at (0.000, 0.500, 0.000), Bi at (0.000, 0.000, 0.000), Au at (0.500, 0.500, 0.500) and Cl at (0.000, 0.000, 0.500).

For the formation energy (no corrections), the calculation gives 1.97 eV/atom. The total energy comes out at -4.569 eV/atom.

Computed, not measured: an optimized crystal structure of Mg2Al5Ga3 at the PBE-GGA level of DFT.

It has space group Ibam (No. 72), with a = 11.374 Å, b = 11.730 Å, c = 5.879 Å, α = 90.00°, β = 90.00° and γ = 90.00°. The asymmetric unit holds Mg at (0.242, 0.131, 0.000), Al at (0.000, 0.000, 0.250), Al at (0.000, 0.248, 0.250), Al at (0.142, 0.378, 0.000), Ga at (0.000, 0.500, 0.250) and Ga at (0.142, 0.123, 0.500).

The total energy comes out at -3.069 eV/atom.